Entry 1:
# MnIrCl2

MnIrCl2 after structural relaxation (PBE, Alexandria via LeMat-Bulk).

Results
The calculation puts the energy at -22.01 eV/cell. The relative energy among the computed polymorphs is 11 meV/atom. The energy relative to the elements, uncorrected comes out at -0.07 eV per atom.

Cell: 3.4837 3.4679 7.3621 Å, 90.00 97.65 90.00°
Last column: nearest neighbours and their distance in Å.
Space group Pm (No. 6)
Asymmetric unit:
Mn (0.0000, 0.0000, 0.0000) [1 per cell]  2 Cl 2.59, 4 Ir 2.60-2.61
Ir (0.5319, 0.5000, 0.1176) [1 per cell]  3 Cl 2.38-2.45, 4 Mn 2.60-2.61
Cl (0.2978, 0.5000, 0.7988) [1 per cell]  1 Ir 2.38, 2 Mn 2.59
Cl (0.6597, 0.0000, 0.3536) [1 per cell]  2 Ir 2.45

=====

Entry 2:
# MnIr2Cl

MnIr2Cl after structural relaxation (PBE, Alexandria via LeMat-Bulk).

Results
The calculation puts the energy at -27.64 eV/cell. The relative energy among the computed polymorphs is 57 meV/atom. The energy relative to the elements, uncorrected comes out at 0.27 eV per atom.

Cell: 2.8341 2.8341 8.8593 Å, 90.00 90.00 90.00°
Last column: nearest neighbours and their distance in Å.
Space group P4mm (No. 99)
Asymmetric unit:
Mn (0.0000, 0.0000, 0.0000) [1 per cell]  4 Cl 2.55, 4 Ir 2.77, 4 Mn 2.83
Ir (0.0000, 0.0000, 0.5870) [1 per cell]  8 Ir 2.66-2.83
Ir (0.5000, 0.5000, 0.7840) [1 per cell]  8 Ir 2.66-2.83, 4 Mn 2.77
Cl (0.5000, 0.5000, 0.1781) [1 per cell]  4 Mn 2.55, 4 Cl 2.83

=====

Entry 3:
# MnIr2Cl

MnIr2Cl after structural relaxation (PBE, Alexandria via LeMat-Bulk).

Results
The calculation puts the energy at -101.16 eV/cell. The relative energy among the computed polymorphs is 645 meV/atom. The energy relative to the elements, uncorrected comes out at 0.86 eV per atom.

Cell: 6.1963 6.1963 6.1963 Å, 90.00 90.00 90.00°
Last column: nearest neighbours and their distance in Å.
Space group Fm-3m (No. 225)
Asymmetric unit:
Mn (0.0000, 0.0000, 0.0000) [4 per cell]  8 Ir 2.68
Ir (0.2500, 0.2500, 0.2500) [8 per cell]  4 Cl 2.68, 4 Mn 2.68
Cl (0.0000, 0.0000, 0.5000) [4 per cell]  8 Ir 2.68

=====

Entry 4:
# MnIrCl

MnIrCl after structural relaxation (PBE, Alexandria via LeMat-Bulk).

Results
The calculation puts the energy at -77.61 eV/cell. The relative energy among the computed polymorphs is 73 meV/atom. The energy relative to the elements, uncorrected comes out at 0.16 eV per atom.

Cell: 3.1099 5.0370 13.2705 Å, 90.00 90.00 90.00°
Last column: nearest neighbours and their distance in Å.
Space group Fmm2 (No. 42)
Asymmetric unit:
Mn (0.0000, 0.0000, 0.0000) [4 per cell]  2 Cl 2.35, 2 Ir 2.43
Ir (0.0000, 0.0000, 0.3592) [4 per cell]  2 Mn 2.43
Cl (0.0000, 0.0000, 0.6329) [4 per cell]  2 Mn 2.35

=====

Entry 5:
# MnIr2Cl

MnIr2Cl after structural relaxation (PBE, Alexandria via LeMat-Bulk).

Results
The calculation puts the energy at -27.71 eV/cell. The relative energy among the computed polymorphs is 39 meV/atom. The energy relative to the elements, uncorrected comes out at 0.26 eV per atom.

Cell: 2.9102 3.6061 6.6699 Å, 90.00 90.00 90.00°
Last column: nearest neighbours and their distance in Å.
Space group Pmm2 (No. 25)
Asymmetric unit:
Mn (0.0000, 0.0000, 0.0000) [1 per cell]  2 Cl 2.53, 5 Ir 2.65-2.80
Ir (0.0000, 0.0000, 0.3975) [1 per cell]  4 Ir 2.56, 1 Mn 2.65
Ir (0.5000, 0.5000, 0.2350) [1 per cell]  4 Ir 2.56, 4 Mn 2.80
Cl (0.0000, 0.5000, 0.7345) [1 per cell]  2 Mn 2.53

=====

Entry 6:
# MnIrCl2

MnIrCl2 after structural relaxation (PBE, Alexandria via LeMat-Bulk).

Results
The calculation puts the energy at -74.37 eV/cell. The relative energy among the computed polymorphs is 867 meV/atom. The energy relative to the elements, uncorrected comes out at 0.78 eV per atom.

Cell: 6.4485 6.4485 6.4485 Å, 90.00 90.00 90.00°
Last column: nearest neighbours and their distance in Å.
Space group F-43m (No. 216)
Asymmetric unit:
Mn (0.0000, 0.0000, 0.0000) [4 per cell]  4 Ir 2.79, 4 Cl 2.79
Ir (0.2500, 0.2500, 0.7500) [4 per cell]  4 Cl 2.79, 4 Mn 2.79
Cl (0.0000, 0.0000, 0.5000) [4 per cell]  4 Cl 2.79, 4 Ir 2.79
Cl (0.2500, 0.2500, 0.2500) [4 per cell]  4 Mn 2.79, 4 Cl 2.79

=====

no.,density of states at the Fermi level (states/eV per cell)
1,1.2
2,5.2
3,14.4
4,2.1
5,2.6
6,23.3